1.
VASP calculation (PBEsol) on a relaxed TcOs2W crystal.

Values from the calculation:
The volume is 14.67 A^3/atom. Its magnetization is 0.00 μB per formula unit. As for the formation energy from the elements: 413 meV/atom. Its density of states at the Fermi level is 1.192 states/eV/atom. Its space group is P4/mmm. Its density is 18745 kg/m3. The total energy is -47.9 eV per formula unit.

```
TcOs2W
1.0
3.235 0.000 0.000
0.000 3.235 0.000
0.000 0.000 5.607
W Os Tc
1 2 1
direct
0.500 0.500 0.500
0.000 0.000 0.246
0.000 0.000 0.754
0.500 0.500 0.000
```

---

2.
VASP calculation (PBEsol) on a relaxed Ca6Si6O19 crystal.

Values from the calculation:
The volume is 14.23 A^3/atom. Its magnetization is 2.01 μB per formula unit. Its density of states at the Fermi level is 0.017 states/eV/atom. Its space group is P-1. Its density is 2683 kg/m3. As for the formation energy without anion corrections: -2837.3 meV per atom. The total energy is -235.0 eV per formula unit.

```
Ca6Si6O19
1.0
-3.579 1.856 -5.670
-2.565 -6.896 -0.643
-7.328 0.312 4.828
Ca O Si
6 19 6
direct
0.000 0.000 0.500
0.840 0.158 0.870
0.000 0.500 0.500
0.160 0.344 0.134
0.160 0.842 0.130
0.840 0.656 0.866
0.166 0.640 0.954
0.787 0.948 0.705
0.500 0.000 0.500
0.213 0.052 0.295
0.879 0.785 0.351
0.832 0.866 0.044
0.194 0.555 0.290
0.879 0.289 0.352
0.523 0.889 0.227
0.834 0.360 0.046
0.477 0.753 0.773
0.652 0.573 0.206
0.121 0.711 0.648
0.477 0.111 0.773
0.806 0.445 0.710
0.523 0.247 0.227
0.348 0.427 0.794
0.168 0.134 0.956
0.121 0.215 0.649
0.729 0.362 0.211
0.442 0.045 0.318
0.558 0.955 0.682
0.271 0.638 0.789
0.271 0.218 0.790
0.729 0.782 0.210
```

---

3.
VASP calculation (PBEsol) on a relaxed Hf2BI crystal.

Values from the calculation:
The volume is 23.37 A^3/atom. Its magnetization is 0.00 μB per formula unit. Its density of states at the Fermi level is 0.560 states/eV/atom. Its space group is I-42d. Its density is 8786 kg/m3. As for the formation energy without anion corrections: 237.0 meV per atom. The total energy is -28.8 eV per formula unit.

```
Hf2BI
1.0
-4.598 -2.439 -2.511
3.297 -4.412 -1.751
-0.490 0.688 6.880
B Hf I
2 4 2
direct
0.750 0.250 0.500
0.500 0.500 0.000
0.125 0.221 0.750
0.779 0.375 0.250
0.471 0.875 0.250
0.625 0.529 0.750
0.250 0.750 0.500
0.000 0.000 0.000
```

---

4.
VASP calculation (PBEsol) on a relaxed MnAu2Br crystal.

Values from the calculation:
The volume is 19.28 A^3/atom. Its magnetization is 4.68 μB per formula unit. Its density of states at the Fermi level is 0.381 states/eV/atom. Its space group is I4/mmm. Its density is 11386 kg/m3. As for the formation energy without anion corrections: 296.5 meV per atom. The total energy is -18.3 eV per formula unit.

```
MnAu2Br
1.0
3.799 0.000 0.000
0.000 3.799 0.000
-1.899 -1.899 5.345
Br Au Mn
1 2 1
direct
0.500 0.500 0.000
0.250 0.750 0.500
0.750 0.250 0.500
0.000 0.000 0.000
```